Compound: SrAl2TcSn
Source: Alexandria via LeMat-Bulk
Functional: PBE
Structure: relaxed

Calculated values
Energy of formation   -0.213 eV per atom
Symmetry   P4/mmm, No. 123
Energy   -24.60 eV per cell

Cell: 4.8580 4.8580 5.1468 Å, 90.00 90.00 90.00°
Closest atoms and distances in Å follow each position.
Element x y z (fractional)
Sr1 0.5000 0.5000 0.5000  4 Sn 3.44, 8 Al 3.54
Al1 0.0000 0.5000 0.0000  2 Tc 2.43
Al2 0.5000 0.0000 0.0000  2 Tc 2.43
Sn1 0.0000 0.0000 0.5000  2 Tc 2.57
Tc1 0.0000 0.0000 0.0000  4 Al 2.43, 2 Sn 2.57